A geometry-optimized CsAc4Te6 structure. Source: the Alexandria database, functional GGA-PBE.

Computed properties:
DOS at the Fermi energy in states/eV/atom: 0.265
Formation energy from raw total energies in eV/atom: -1.48
Energy relative to the lowest polymorph listed for this composition in eV/atom: 0.000
Total energy in hartree per atom: -0.1752

Cell lengths 8.3211, 8.3211, 25.1611 Å; angles 90.00, 90.00, 146.42 degrees
Closest atoms and distances in Å follow each position.
Sites, in units of the cell vectors:
1 Cs 0.1546 0.8454 0.7500  6 Te 3.78-3.90
2 Cs 0.8454 0.1546 0.2500  6 Te 3.78-3.90
3 Ac 0.0983 0.9017 0.1316  5 Te 3.15-3.44
4 Ac 0.0983 0.9017 0.3684  5 Te 3.15-3.44
5 Ac 0.3668 0.6332 0.0411  6 Te 3.22-3.42
6 Ac 0.3668 0.6332 0.4590  6 Te 3.22-3.42
7 Ac 0.6332 0.3668 0.5410  6 Te 3.22-3.42
8 Ac 0.6332 0.3668 0.9590  6 Te 3.22-3.42
9 Ac 0.9017 0.0983 0.6316  5 Te 3.15-3.44
10 Ac 0.9017 0.0983 0.8684  5 Te 3.15-3.44
11 Te 0.0000 0.0000 0.0000  6 Ac 3.37-3.66
12 Te 0.0000 0.0000 0.5000  6 Ac 3.37-3.66
13 Te 0.1620 0.8380 0.2500  2 Ac 3.15
14 Te 0.2705 0.7295 0.5803  5 Ac 3.40-3.44
15 Te 0.2705 0.7295 0.9197  5 Ac 3.40-3.44
16 Te 0.4634 0.5366 0.1536  3 Ac 3.22-3.27
17 Te 0.4634 0.5366 0.3464  3 Ac 3.22-3.27
18 Te 0.5366 0.4634 0.6536  3 Ac 3.22-3.27
19 Te 0.5366 0.4634 0.8464  3 Ac 3.22-3.27
20 Te 0.7295 0.2705 0.0803  5 Ac 3.40-3.44
21 Te 0.7295 0.2705 0.4197  5 Ac 3.40-3.44
22 Te 0.8380 0.1620 0.7500  2 Ac 3.15

---

A geometry-optimized CsAc3Te4 structure. Source: the Alexandria database, functional GGA-PBE.

Computed properties:
DOS at the Fermi energy in states/eV/atom: 0.494
Formation energy from raw total energies in eV/atom: -1.49
Total energy in hartree per atom: -0.1730

Cell lengths 4.8224, 4.8224, 33.2533 Å; angles 90.00, 90.00, 120.00 degrees
Closest atoms and distances in Å follow each position.
Sites, in units of the cell vectors:
1 Cs 0.3333 0.6667 0.2500  6 Te 3.87
2 Cs 0.6667 0.3333 0.7500  6 Te 3.87
3 Ac 0.0000 0.0000 0.0000  6 Te 3.37
4 Ac 0.0000 0.0000 0.5000  6 Te 3.37
5 Ac 0.3333 0.6667 0.6140  6 Te 3.34-3.37
6 Ac 0.3333 0.6667 0.8860  6 Te 3.34-3.37
7 Ac 0.6667 0.3333 0.1140  6 Te 3.34-3.37
8 Ac 0.6667 0.3333 0.3860  6 Te 3.34-3.37
9 Te 0.0000 0.0000 0.1692  3 Ac 3.34
10 Te 0.0000 0.0000 0.3308  3 Ac 3.34
11 Te 0.0000 0.0000 0.6692  3 Ac 3.34
12 Te 0.0000 0.0000 0.8308  3 Ac 3.34
13 Te 0.3333 0.6667 0.0570  6 Ac 3.37
14 Te 0.3333 0.6667 0.4430  6 Ac 3.37
15 Te 0.6667 0.3333 0.5570  6 Ac 3.37
16 Te 0.6667 0.3333 0.9430  6 Ac 3.37

---

A geometry-optimized CsAc6Te8 structure. Source: the Alexandria database, functional GGA-PBE.

Computed properties:
DOS at the Fermi energy in states/eV/atom: 0.674
Formation energy from raw total energies in eV/atom: -1.43
Total energy in hartree per atom: -0.1766

Cell lengths 12.7211, 12.7211, 4.8800 Å; angles 90.00, 90.00, 120.00 degrees
Closest atoms and distances in Å follow each position.
Sites, in units of the cell vectors:
1 Cs 0.0000 0.0000 0.0000  6 Te 4.42, 2 Cs 4.88
2 Ac 0.1391 0.6571 0.7492  6 Te 3.31-3.43
3 Ac 0.3429 0.4819 0.7492  6 Te 3.31-3.43
4 Ac 0.4819 0.1391 0.2508  6 Te 3.31-3.43
5 Ac 0.5181 0.8609 0.7492  6 Te 3.31-3.43
6 Ac 0.6571 0.5181 0.2508  6 Te 3.31-3.43
7 Ac 0.8609 0.3429 0.2508  6 Te 3.31-3.43
8 Te 0.0431 0.3534 0.7514  4 Ac 3.31-3.42
9 Te 0.3103 0.9569 0.7514  4 Ac 3.31-3.42
10 Te 0.3333 0.6667 0.2491  6 Ac 3.43
11 Te 0.3534 0.3103 0.2486  4 Ac 3.31-3.42
12 Te 0.6466 0.6897 0.7514  4 Ac 3.31-3.42
13 Te 0.6667 0.3333 0.7509  6 Ac 3.43
14 Te 0.6897 0.0431 0.2486  4 Ac 3.31-3.42
15 Te 0.9569 0.6466 0.2486  4 Ac 3.31-3.42

---

A geometry-optimized CsAcTe4 structure. Source: the Alexandria database, functional GGA-PBE.

Computed properties:
Formation energy from raw total energies in eV/atom: -1.02
Energy relative to the lowest polymorph listed for this composition in eV/atom: 0.000
Total energy in hartree per atom: -0.1450

Cell lengths 7.1680, 7.1680, 9.8736 Å; angles 90.00, 90.00, 90.00 degrees
Closest atoms and distances in Å follow each position.
Sites, in units of the cell vectors:
1 Cs 0.2500 0.2500 0.0000  8 Te 4.01
2 Cs 0.7500 0.7500 0.0000  8 Te 4.01
3 Ac 0.2500 0.2500 0.5000  8 Te 3.44
4 Ac 0.7500 0.7500 0.5000  8 Te 3.44
5 Te 0.1106 0.6106 0.2940  1 Te 2.83
6 Te 0.1106 0.8894 0.7060  1 Te 2.83
7 Te 0.3894 0.6106 0.7060  1 Te 2.83
8 Te 0.3894 0.8894 0.2940  1 Te 2.83
9 Te 0.6106 0.1106 0.7060  1 Te 2.83
10 Te 0.6106 0.3894 0.2940  1 Te 2.83
11 Te 0.8894 0.1106 0.2940  1 Te 2.83
12 Te 0.8894 0.3894 0.7060  1 Te 2.83

---

A geometry-optimized Cs2Ac2Te5 structure. Source: the Alexandria database, functional GGA-PBE.

Computed properties:
DOS at the Fermi energy in states/eV/atom: 0.640
Formation energy from raw total energies in eV/atom: -1.23
Total energy in hartree per atom: -0.1499

Cell lengths 10.6750, 10.6750, 9.0964 Å; angles 90.00, 90.00, 50.40 degrees
Closest atoms and distances in Å follow each position.
Sites, in units of the cell vectors:
1 Cs 0.1990 0.1990 0.0000  7 Te 3.84-4.00
2 Cs 0.3010 0.3010 0.5000  7 Te 3.84-4.00
3 Cs 0.6990 0.6990 0.5000  7 Te 3.84-4.00
4 Cs 0.8010 0.8010 0.0000  7 Te 3.84-4.00
5 Ac 0.1650 0.8350 0.6650  8 Te 3.39-3.46
6 Ac 0.3350 0.6650 0.1650  8 Te 3.39-3.46
7 Ac 0.6650 0.3350 0.8350  8 Te 3.39-3.46
8 Ac 0.8350 0.1650 0.3350  8 Te 3.39-3.46
9 Te 0.0000 0.0000 0.0000  4 Ac 3.39-3.40
10 Te 0.0164 0.7586 0.3710  1 Te 3.32, 3 Ac 3.43-3.46
11 Te 0.2414 0.9836 0.3710  1 Te 3.32, 3 Ac 3.43-3.46
12 Te 0.2586 0.5164 0.8710  1 Te 3.32, 3 Ac 3.43-3.46
13 Te 0.4836 0.7414 0.8710  1 Te 3.32, 3 Ac 3.43-3.46
14 Te 0.5000 0.5000 0.5000  4 Ac 3.39-3.40
15 Te 0.5164 0.2586 0.1290  1 Te 3.32, 3 Ac 3.43-3.46
16 Te 0.7414 0.4836 0.1290  1 Te 3.32, 3 Ac 3.43-3.46
17 Te 0.7586 0.0164 0.6290  1 Te 3.32, 3 Ac 3.43-3.46
18 Te 0.9836 0.2414 0.6290  1 Te 3.32, 3 Ac 3.43-3.46

---

A geometry-optimized CsAcTe4 structure. Source: the Alexandria database, functional GGA-PBE.

Computed properties:
DOS at the Fermi energy in states/eV/atom: 0.531
Formation energy from raw total energies in eV/atom: -0.36
Energy relative to the lowest polymorph listed for this composition in eV/atom: 0.660
Total energy in hartree per atom: -0.1207

Cell lengths 6.7165, 6.7165, 6.7165 Å; angles 60.00, 60.00, 60.00 degrees
Closest atoms and distances in Å follow each position.
Sites, in units of the cell vectors:
1 Cs 0.0000 0.0000 0.0000  12 Te 3.94, 4 Ac 4.11
2 Ac 0.7500 0.7500 0.7500  12 Te 3.94, 4 Cs 4.11
3 Te 0.3759 0.3759 0.3759  6 Te 3.33-3.38
4 Te 0.3759 0.3759 0.8723  6 Te 3.33-3.38
5 Te 0.3759 0.8723 0.3759  6 Te 3.33-3.38
6 Te 0.8723 0.3759 0.3759  6 Te 3.33-3.38

---

A geometry-optimized Cs3Ac4Te8 structure. Source: the Alexandria database, functional GGA-PBE.

Computed properties:
DOS at the Fermi energy in states/eV/atom: 0.803
Formation energy from raw total energies in eV/atom: -1.24
Total energy in hartree per atom: -0.1538

Cell lengths 9.9682, 9.9682, 9.8388 Å; angles 119.21, 119.21, 89.80 degrees
Closest atoms and distances in Å follow each position.
Sites, in units of the cell vectors:
1 Cs 0.0000 0.0000 0.0000  6 Te 3.73-3.80
2 Cs 0.0000 0.5000 0.0000  6 Te 3.54-3.57
3 Cs 0.5000 0.0000 0.0000  6 Te 3.54-3.57
4 Ac 0.0000 0.5000 0.5000  6 Te 3.52-3.57
5 Ac 0.5000 0.0000 0.5000  6 Te 3.52-3.57
6 Ac 0.5000 0.5000 0.0000  6 Te 3.28-3.39
7 Ac 0.5000 0.5000 0.5000  6 Te 3.28-3.42
8 Te 0.2629 0.7371 0.5000  3 Ac 3.34-3.54, 2 Cs 3.57
9 Te 0.2649 0.7351 0.0000  3 Ac 3.31-3.57, 2 Cs 3.54
10 Te 0.2695 0.2695 0.5243  4 Ac 3.39-3.52, 1 Cs 3.75
11 Te 0.2878 0.2878 0.0404  2 Ac 3.28, 2 Cs 3.54
12 Te 0.7122 0.7122 0.9596  2 Ac 3.28, 2 Cs 3.54
13 Te 0.7305 0.7305 0.4757  4 Ac 3.39-3.52, 1 Cs 3.75
14 Te 0.7351 0.2649 0.0000  3 Ac 3.31-3.57, 2 Cs 3.54
15 Te 0.7371 0.2629 0.5000  3 Ac 3.34-3.54, 2 Cs 3.57

---

A geometry-optimized Cs14Ac2Te9 structure. Source: the Alexandria database, functional GGA-PBE.

Computed properties:
DOS at the Fermi energy in states/eV/atom: 0.250
Formation energy from raw total energies in eV/atom: -1.05
Total energy in hartree per atom: -0.1100

Cell lengths 10.9190, 10.9190, 15.1958 Å; angles 90.00, 90.00, 120.00 degrees
Closest atoms and distances in Å follow each position.
Sites, in units of the cell vectors:
1 Cs 0.0000 0.0000 0.2481  4 Te 3.83-3.89
2 Cs 0.0000 0.0000 0.7519  4 Te 3.83-3.89
3 Cs 0.0481 0.6836 0.4067  4 Te 3.95-4.04
4 Cs 0.0915 0.3981 0.0981  4 Te 3.91-4.00
5 Cs 0.3066 0.9085 0.0981  4 Te 3.91-4.00
6 Cs 0.3164 0.3645 0.4067  4 Te 3.95-4.04
7 Cs 0.3645 0.0481 0.5933  4 Te 3.95-4.04
8 Cs 0.3981 0.3066 0.9019  4 Te 3.91-4.00
9 Cs 0.6019 0.6934 0.0981  4 Te 3.91-4.00
10 Cs 0.6355 0.9519 0.4067  4 Te 3.95-4.04
11 Cs 0.6836 0.6355 0.5933  4 Te 3.95-4.04
12 Cs 0.6934 0.0915 0.9019  4 Te 3.91-4.00
13 Cs 0.9085 0.6019 0.9019  4 Te 3.91-4.00
14 Cs 0.9519 0.3164 0.5933  4 Te 3.95-4.04
15 Ac 0.3333 0.6667 0.7693  4 Te 3.21
16 Ac 0.6667 0.3333 0.2307  4 Te 3.21
17 Te 0.0000 0.0000 0.5000  8 Cs 3.83-4.00
18 Te 0.0851 0.3684 0.8412  1 Ac 3.21
19 Te 0.2833 0.9149 0.8412  1 Ac 3.21
20 Te 0.3333 0.6667 0.5582  1 Ac 3.21
21 Te 0.3684 0.2833 0.1588  1 Ac 3.21
22 Te 0.6316 0.7167 0.8412  1 Ac 3.21
23 Te 0.6667 0.3333 0.4418  1 Ac 3.21
24 Te 0.7167 0.0851 0.1588  1 Ac 3.21
25 Te 0.9149 0.6316 0.1588  1 Ac 3.21

---

A geometry-optimized Cs3Ac2ThTe6 structure. Source: the Alexandria database, functional GGA-PBE.

Computed properties:
DOS at the Fermi energy in states/eV/atom: 0.433
Formation energy from raw total energies in eV/atom: -1.38
Total energy in hartree per atom: -0.1641

Cell lengths 8.2906, 8.2906, 9.4187 Å; angles 98.45, 98.45, 119.98 degrees
Closest atoms and distances in Å follow each position.
Sites, in units of the cell vectors:
1 Cs 0.0000 0.0000 0.0000  6 Te 3.82-3.95
2 Cs 0.3292 0.6708 0.0000  6 Te 3.82-3.92
3 Cs 0.6708 0.3292 0.0000  6 Te 3.82-3.92
4 Ac 0.1662 0.8338 0.5000  6 Te 3.36
5 Ac 0.8338 0.1662 0.5000  6 Te 3.36
6 Th 0.5000 0.5000 0.5000  6 Te 3.19-3.20
7 Te 0.1155 0.4333 0.2994  1 Th 3.19, 2 Ac 3.36
8 Te 0.2504 0.2504 0.7021  1 Th 3.20, 2 Ac 3.36
9 Te 0.4333 0.1155 0.2994  1 Th 3.19, 2 Ac 3.36
10 Te 0.5667 0.8845 0.7006  1 Th 3.19, 2 Ac 3.36
11 Te 0.7496 0.7496 0.2979  1 Th 3.20, 2 Ac 3.36
12 Te 0.8845 0.5667 0.7006  1 Th 3.19, 2 Ac 3.36

---

A geometry-optimized Cs3AcTh2Te6 structure. Source: the Alexandria database, functional GGA-PBE.

Computed properties:
DOS at the Fermi energy in states/eV/atom: 0.624
Formation energy from raw total energies in eV/atom: -1.26
Total energy in hartree per atom: -0.1701

Cell lengths 8.0648, 8.0648, 9.4764 Å; angles 98.17, 98.17, 120.00 degrees
Closest atoms and distances in Å follow each position.
Sites, in units of the cell vectors:
1 Cs 0.0000 0.0000 0.0000  6 Te 3.75-3.86
2 Cs 0.3375 0.6625 0.0000  6 Te 3.77-3.87
3 Cs 0.6625 0.3375 0.0000  6 Te 3.77-3.87
4 Ac 0.5000 0.5000 0.5000  6 Te 3.35
5 Th 0.1672 0.8328 0.5000  6 Te 3.20
6 Th 0.8328 0.1672 0.5000  6 Te 3.20
7 Te 0.0841 0.4325 0.2985  2 Th 3.20, 1 Ac 3.35
8 Te 0.2177 0.2177 0.6996  2 Th 3.20, 1 Ac 3.35
9 Te 0.4325 0.0841 0.2985  2 Th 3.20, 1 Ac 3.35
10 Te 0.5675 0.9159 0.7015  2 Th 3.20, 1 Ac 3.35
11 Te 0.7823 0.7823 0.3004  2 Th 3.20, 1 Ac 3.35
12 Te 0.9159 0.5675 0.7015  2 Th 3.20, 1 Ac 3.35

---

A geometry-optimized Cs4AcTh3Te8 structure. Source: the Alexandria database, functional GGA-PBE.

Computed properties:
DOS at the Fermi energy in states/eV/atom: 0.643
Formation energy from raw total energies in eV/atom: -1.24
Total energy in hartree per atom: -0.1716

Cell lengths 10.5568, 10.5568, 10.5568 Å; angles 51.97, 51.97, 51.97 degrees
Closest atoms and distances in Å follow each position.
Sites, in units of the cell vectors:
1 Cs 0.0000 0.0000 0.0000  6 Te 3.73
2 Cs 0.0000 0.5000 0.5000  6 Te 3.84-3.85
3 Cs 0.5000 0.0000 0.5000  6 Te 3.84-3.85
4 Cs 0.5000 0.5000 0.0000  6 Te 3.84-3.85
5 Ac 0.5000 0.5000 0.5000  6 Te 3.33
6 Th 0.0000 0.0000 0.5000  6 Te 3.20-3.22
7 Th 0.0000 0.5000 0.0000  6 Te 3.20-3.22
8 Th 0.5000 0.0000 0.0000  6 Te 3.20-3.22
9 Te 0.2207 0.7406 0.7406  2 Th 3.20, 1 Ac 3.33
10 Te 0.2323 0.2323 0.2323  3 Th 3.22
11 Te 0.2594 0.2594 0.7793  2 Th 3.20, 1 Ac 3.33
12 Te 0.2594 0.7793 0.2594  2 Th 3.20, 1 Ac 3.33
13 Te 0.7406 0.2207 0.7406  2 Th 3.20, 1 Ac 3.33
14 Te 0.7406 0.7406 0.2207  2 Th 3.20, 1 Ac 3.33
15 Te 0.7677 0.7677 0.7677  3 Th 3.22
16 Te 0.7793 0.2594 0.2594  2 Th 3.20, 1 Ac 3.33

---

A geometry-optimized Cs4Ac3ThTe8 structure. Source: the Alexandria database, functional GGA-PBE.

Computed properties:
DOS at the Fermi energy in states/eV/atom: 0.355
Formation energy from raw total energies in eV/atom: -1.41
Total energy in hartree per atom: -0.1627

Cell lengths 10.5762, 10.5762, 10.5762 Å; angles 54.22, 54.22, 54.22 degrees
Closest atoms and distances in Å follow each position.
Sites, in units of the cell vectors:
1 Cs 0.0000 0.0000 0.0000  6 Te 3.97
2 Cs 0.0000 0.5000 0.5000  6 Te 3.84
3 Cs 0.5000 0.0000 0.5000  6 Te 3.84
4 Cs 0.5000 0.5000 0.0000  6 Te 3.84
5 Ac 0.0000 0.0000 0.5000  6 Te 3.34-3.37
6 Ac 0.0000 0.5000 0.0000  6 Te 3.34-3.37
7 Ac 0.5000 0.0000 0.0000  6 Te 3.34-3.37
8 Th 0.5000 0.5000 0.5000  6 Te 3.20
9 Te 0.2353 0.2353 0.2353  3 Ac 3.34
10 Te 0.2487 0.7253 0.7253  1 Th 3.20, 2 Ac 3.37
11 Te 0.2747 0.2747 0.7513  1 Th 3.20, 2 Ac 3.37
12 Te 0.2747 0.7513 0.2747  1 Th 3.20, 2 Ac 3.37
13 Te 0.7253 0.2487 0.7253  1 Th 3.20, 2 Ac 3.37
14 Te 0.7253 0.7253 0.2487  1 Th 3.20, 2 Ac 3.37
15 Te 0.7513 0.2747 0.2747  1 Th 3.20, 2 Ac 3.37
16 Te 0.7647 0.7647 0.7647  3 Ac 3.34

---

What is the total energy in the third record?
-0.1766 hartree per atom